# CaZrW | Alexandria | SCAN | PBEsol geometry
# Density: 7.21 Mg/m³
# Offset from the most stable computed form: 540 meV per atom
# E_form: 1287 meV/atom
data_CaZrW
_symmetry_space_group_name_H-M 'F -4 3 m'
_symmetry_Int_Tables_number 216
_symmetry_space_group_name_Hall 'F -4 2 3'
_cell_length_a 6.620
_cell_length_b 6.620
_cell_length_c 6.620
_cell_angle_alpha 90.00
_cell_angle_beta 90.00
_cell_angle_gamma 90.00
loop_
_atom_site_label
_atom_site_fract_x
_atom_site_fract_y
_atom_site_fract_z
_atom_site_occupancy
Ca1 0.000 0.000 0.000 1
Zr1 0.000 0.000 0.500 1
W1 0.250 0.250 0.250 1

---

# KZn2NiPd | Alexandria | SCAN | PBEsol geometry
# Density: 5.49 Mg/m³
# E_form: 224 meV/atom
data_KZn2NiPd
_symmetry_space_group_name_H-M 'P 4/m m m'
_symmetry_Int_Tables_number 123
_symmetry_space_group_name_Hall '-P 4 2'
_cell_length_a 4.600
_cell_length_b 4.600
_cell_length_c 4.789
_cell_angle_alpha 90.00
_cell_angle_beta 90.00
_cell_angle_gamma 90.00
loop_
_atom_site_label
_atom_site_fract_x
_atom_site_fract_y
_atom_site_fract_z
_atom_site_occupancy
K1 0.000 0.000 0.000 1
Zn1 0.000 0.500 0.500 1
Ni1 0.500 0.500 0.500 1
Pd1 0.500 0.500 0.000 1

---

# RbCrNi3 | Alexandria | SCAN | PBEsol geometry
# Density: 5.87 Mg/m³
# E_form: 1198 meV/atom
data_RbCrNi3
_symmetry_space_group_name_H-M 'P m -3 m'
_symmetry_Int_Tables_number 221
_symmetry_space_group_name_Hall '-P 4 2 3'
_cell_length_a 4.459
_cell_length_b 4.459
_cell_length_c 4.459
_cell_angle_alpha 90.00
_cell_angle_beta 90.00
_cell_angle_gamma 90.00
loop_
_atom_site_label
_atom_site_fract_x
_atom_site_fract_y
_atom_site_fract_z
_atom_site_occupancy
Rb1 0.000 0.000 0.000 1
Cr1 0.500 0.500 0.500 1
Ni1 0.000 0.500 0.500 1

---

# SrLiZr3 | Alexandria | SCAN | PBEsol geometry
# Density: 4.92 Mg/m³
# E_form: 849 meV/atom
data_SrLiZr3
_symmetry_space_group_name_H-M 'P m -3 m'
_symmetry_Int_Tables_number 221
_symmetry_space_group_name_Hall '-P 4 2 3'
_cell_length_a 4.989
_cell_length_b 4.989
_cell_length_c 4.989
_cell_angle_alpha 90.00
_cell_angle_beta 90.00
_cell_angle_gamma 90.00
loop_
_atom_site_label
_atom_site_fract_x
_atom_site_fract_y
_atom_site_fract_z
_atom_site_occupancy
Sr1 0.000 0.000 0.000 1
Li1 0.500 0.500 0.500 1
Zr1 0.000 0.500 0.500 1

---

no.,volume (Å³ per cell)
1,290.1
2,101.3
3,88.6
4,124.2